VASP calculation (PBE) on CeTm6Th2 after structural relaxation.

POSCAR file:
```
CeTm6Th2
1.0
5.979 -0.027 -0.026
1.181 9.742 1.401
1.181 1.716 9.692
Tm Th Ce
12 4 2
Direct
0.530 0.319 0.571
0.632 0.095 0.346
0.193 0.987 0.234
0.470 0.681 0.429
0.693 0.234 0.987
0.868 0.654 0.905
0.132 0.346 0.095
0.807 0.013 0.766
0.970 0.429 0.681
0.368 0.905 0.654
0.030 0.571 0.319
0.307 0.766 0.013
0.420 0.546 0.791
0.920 0.791 0.546
0.580 0.454 0.209
0.080 0.209 0.454
0.250 0.129 0.871
0.750 0.871 0.129
```

Summary:
total moment: 2.86 μB/cell
ΔE_f: 1.343 eV per formula unit
SG: C2/c (15)